<1>
A relaxed TbPr3Te4 crystal. Source: Alexandria, functional PBE.

Output
- calculated density (g/cm3) = 7.06

a = 4.3812 Å, b = 4.3812 Å, c = 30.8950 Å
α = 90.00°, β = 90.00°, γ = 120.00°
Closest atoms and distances in Å follow each position.
Atoms (fractional coordinates):
Pr1 0.0000 0.0000 0.0000  6 Te 3.20
Pr2 0.0000 0.0000 0.5000  6 Te 3.20
Pr3 0.3333 0.6667 0.8743  6 Te 3.18-3.21
Pr4 0.6667 0.3333 0.1257  6 Te 3.18-3.21
Pr5 0.6667 0.3333 0.3743  6 Te 3.18-3.21
Pr6 0.3333 0.6667 0.6257  6 Te 3.18-3.21
Te1 0.6667 0.3333 0.9368  6 Pr 3.18-3.20
Te2 0.3333 0.6667 0.0632  6 Pr 3.18-3.20
Te3 0.3333 0.6667 0.4368  6 Pr 3.18-3.20
Te4 0.6667 0.3333 0.5632  6 Pr 3.18-3.20
Te5 0.0000 0.0000 0.8101  3 Tb 3.14, 3 Pr 3.21
Te6 0.0000 0.0000 0.1899  3 Tb 3.14, 3 Pr 3.21
Te7 0.0000 0.0000 0.3101  3 Tb 3.14, 3 Pr 3.21
Te8 0.0000 0.0000 0.6899  3 Tb 3.14, 3 Pr 3.21
Tb1 0.6667 0.3333 0.7500  6 Te 3.14
Tb2 0.3333 0.6667 0.2500  6 Te 3.14

=====

<2>
A relaxed TbPr3Te4 crystal. Source: Alexandria, functional PBE.

Output
- calculated density (g/cm3) = 7.07

a = 4.4326 Å, b = 7.8185 Å, c = 7.8185 Å
α = 108.77°, β = 90.00°, γ = 90.00°
Closest atoms and distances in Å follow each position.
Atoms (fractional coordinates):
Tb1 0.5000 0.0000 0.0000  6 Te 3.12
Pr1 0.0000 0.0000 0.5000  6 Te 3.18
Pr2 0.5000 0.5000 0.5000  6 Te 3.24
Pr3 0.0000 0.5000 0.0000  6 Te 3.18
Te1 0.0000 0.2410 0.2410  2 Tb 3.12, 4 Pr 3.18-3.24
Te2 0.5000 0.7546 0.2454  1 Tb 3.12, 5 Pr 3.18-3.24
Te3 0.0000 0.7590 0.7590  2 Tb 3.12, 4 Pr 3.18-3.24
Te4 0.5000 0.2454 0.7546  1 Tb 3.12, 5 Pr 3.18-3.24

=====

Name the most stable of them. <2>.

=====

<1>
A relaxed Tb4Pr7Th crystal. Source: Alexandria, functional PBE.

Output
- calculated density (g/cm3) = 7.42

a = 7.3633 Å, b = 6.3830 Å, c = 11.7031 Å
α = 79.44°, β = 50.88°, γ = 90.01°
Closest atoms and distances in Å follow each position.
Atoms (fractional coordinates):
Tb1 0.4198 0.7260 0.3294  1 Th 3.59, 8 Pr 3.60-3.73, 3 Tb 3.62-3.70
Tb2 0.5802 0.2740 0.6706  1 Th 3.59, 8 Pr 3.60-3.73, 3 Tb 3.62-3.70
Tb3 0.8368 0.7805 0.6630  4 Tb 3.56-3.70, 8 Pr 3.63-3.70
Tb4 0.1632 0.2195 0.3370  4 Tb 3.56-3.70, 8 Pr 3.63-3.70
Pr1 0.7503 0.4994 0.0022  7 Pr 3.58-3.72, 3 Tb 3.60-3.69, 2 Th 3.67-3.68
Pr2 0.2497 0.5006 0.9978  7 Pr 3.58-3.72, 3 Tb 3.60-3.69, 2 Th 3.67-3.68
Pr3 0.0827 0.2770 0.6685  1 Th 3.61, 5 Pr 3.61-3.71, 6 Tb 3.63-3.70
Pr4 0.9173 0.7230 0.3315  1 Th 3.61, 5 Pr 3.61-3.71, 6 Tb 3.63-3.70
Pr5 0.3289 0.7808 0.6712  6 Pr 3.58-3.71, 1 Th 3.58, 5 Tb 3.65-3.73
Pr6 0.5000 0.0000 0.0000  4 Tb 3.60-3.65, 6 Pr 3.61-3.69, 2 Th 3.68
Pr7 0.6711 0.2192 0.3288  6 Pr 3.58-3.71, 1 Th 3.58, 5 Tb 3.65-3.73
Th1 0.0000 0.0000 0.0000  10 Pr 3.58-3.68, 2 Tb 3.59

=====

<2>
A relaxed Tb4Pr7Th crystal. Source: Alexandria, functional PBE.

Output
- calculated density (g/cm3) = 7.27

a = 6.1583 Å, b = 9.9129 Å, c = 8.6770 Å
α = 60.17°, β = 69.21°, γ = 71.90°
Closest atoms and distances in Å follow each position.
Atoms (fractional coordinates):
Tb1 0.5704 0.3052 0.5540  2 Pr 3.28-3.51, 2 Tb 3.38-3.68
Tb2 0.4296 0.6948 0.4460  2 Pr 3.28-3.51, 2 Tb 3.38-3.68
Tb3 0.6713 0.6194 0.0380  7 Pr 3.27-3.59
Tb4 0.3287 0.3806 0.9620  7 Pr 3.27-3.59
Pr1 0.7945 0.8804 0.5305  1 Pr 3.28
Pr2 0.2055 0.1196 0.4695  1 Pr 3.28
Pr3 0.0836 0.5604 0.2723  3 Pr 3.36-3.75, 3 Tb 3.53-3.59, 1 Th 3.75
Pr4 0.9164 0.4396 0.7277  3 Pr 3.36-3.75, 3 Tb 3.53-3.59, 1 Th 3.75
Pr5 0.2133 0.7642 0.8091  1 Th 3.21, 4 Tb 3.27-3.55, 2 Pr 3.28-3.39
Pr6 0.5000 0.0000 0.0000  2 Th 3.08
Pr7 0.7867 0.2358 0.1909  1 Th 3.21, 4 Tb 3.27-3.55, 2 Pr 3.28-3.39
Th1 0.0000 0.0000 0.0000  4 Pr 3.08-3.21

=====

Name the most stable of them. <1>.

=====

<1>
A relaxed Tb6PrTh2 crystal. Source: Alexandria, functional PBE.

Output
- calculated density (g/cm3) = 8.88

a = 3.5014 Å, b = 12.0502 Å, c = 12.0502 Å
α = 47.95°, β = 54.49°, γ = 54.49°
Closest atoms and distances in Å follow each position.
Atoms (fractional coordinates):
Tb1 0.8272 0.3358 0.0001  5 Tb 3.22-3.50
Tb2 0.1728 0.9999 0.6642  5 Tb 3.22-3.50
Tb3 0.1728 0.6642 0.9999  5 Tb 3.22-3.50
Tb4 0.5000 0.3362 0.6638  5 Tb 3.21-3.50
Tb5 0.8272 0.0001 0.3358  5 Tb 3.22-3.50
Tb6 0.5000 0.6638 0.3362  5 Tb 3.21-3.50
Pr1 0.0000 0.0000 0.0000  2 Pr 3.50, 12 Tb 3.73
Th1 0.3331 0.6667 0.6667  2 Th 3.50, 12 Tb 3.69-3.70
Th2 0.6669 0.3333 0.3333  2 Th 3.50, 12 Tb 3.69-3.70

=====

<2>
A relaxed Tb6PrTh2 crystal. Source: Alexandria, functional PBE.

Output
- calculated density (g/cm3) = 8.74

a = 3.5839 Å, b = 3.5839 Å, c = 26.6201 Å
α = 90.00°, β = 90.00°, γ = 120.00°
Closest atoms and distances in Å follow each position.
Atoms (fractional coordinates):
Tb1 0.6667 0.3333 0.8868  9 Tb 3.53-3.58, 3 Pr 3.65
Tb2 0.3333 0.6667 0.4374  7 Tb 3.34-3.58, 3 Th 3.50
Tb3 0.3333 0.6667 0.7796  9 Tb 3.53-3.58, 3 Th 3.60
Tb4 0.3333 0.6667 0.2204  9 Tb 3.53-3.58, 3 Th 3.60
Tb5 0.3333 0.6667 0.5626  7 Tb 3.34-3.58, 3 Th 3.50
Tb6 0.6667 0.3333 0.1132  9 Tb 3.53-3.58, 3 Pr 3.65
Pr1 0.3333 0.6667 0.0000  6 Pr 3.58, 6 Tb 3.65
Th1 0.6667 0.3333 0.3312  6 Tb 3.50-3.60, 6 Th 3.58
Th2 0.6667 0.3333 0.6688  6 Tb 3.50-3.60, 6 Th 3.58

=====

Name the most stable of them. <1>.

=====

<1>
A relaxed Tb2PrTh crystal. Source: Alexandria, functional PBE.

Output
- calculated density (g/cm3) = 8.69

a = 3.6371 Å, b = 6.2756 Å, c = 12.1251 Å
α = 90.03°, β = 107.51°, γ = 89.99°
Closest atoms and distances in Å follow each position.
Atoms (fractional coordinates):
Tb1 0.2494 0.9685 0.5431  3 Th 3.49-3.50, 6 Tb 3.63-3.64, 3 Pr 3.64-3.65
Tb2 0.2635 0.1364 0.0593  3 Th 3.49-3.50, 6 Tb 3.63-3.64, 3 Pr 3.64-3.65
Tb3 0.7635 0.6364 0.0593  3 Th 3.49-3.50, 6 Tb 3.63-3.64, 3 Pr 3.64-3.65
Tb4 0.7494 0.4685 0.5430  3 Th 3.49-3.50, 6 Tb 3.63-3.64, 3 Pr 3.64-3.65
Pr1 0.5064 0.3024 0.8011  6 Pr 3.63-3.64, 6 Tb 3.64-3.65
Pr2 0.0063 0.8025 0.8012  6 Pr 3.63-3.64, 6 Tb 3.64-3.65
Th1 0.0065 0.3025 0.3012  6 Tb 3.49-3.50, 6 Th 3.63-3.64
Th2 0.5066 0.8025 0.3012  6 Tb 3.49-3.50, 6 Th 3.63-3.64

=====

<2>
A relaxed Tb2PrTh crystal. Source: Alexandria, functional PBE.

Output
- calculated density (g/cm3) = 8.54

a = 5.4829 Å, b = 3.5146 Å, c = 14.0588 Å
α = 97.18°, β = 90.00°, γ = 90.00°
Closest atoms and distances in Å follow each position.
Atoms (fractional coordinates):
Tb1 0.7500 0.6535 0.3069  1 Th 3.47, 6 Tb 3.51-3.71, 5 Pr 3.61-3.71
Tb2 0.2500 0.3465 0.6931  1 Th 3.47, 6 Tb 3.51-3.71, 5 Pr 3.61-3.71
Tb3 0.7500 0.9105 0.8209  6 Tb 3.51-3.71, 1 Pr 3.56, 6 Th 3.67-3.75
Tb4 0.2500 0.0895 0.1791  6 Tb 3.51-3.71, 1 Pr 3.56, 6 Th 3.67-3.75
Pr1 0.2500 0.2171 0.4342  6 Pr 3.51-3.74, 6 Tb 3.56-3.71
Pr2 0.7500 0.7829 0.5658  6 Pr 3.51-3.74, 6 Tb 3.56-3.71
Th1 0.2500 0.4709 0.9418  4 Th 3.19-3.51, 1 Tb 3.47
Th2 0.7500 0.5291 0.0582  4 Th 3.19-3.51, 1 Tb 3.47

=====

<3>
A relaxed Tb2PrTh crystal. Source: Alexandria, functional PBE.

Output
- calculated density (g/cm3) = 8.65

a = 5.7236 Å, b = 5.7236 Å, c = 5.7236 Å
α = 60.00°, β = 60.00°, γ = 60.00°
Closest atoms and distances in Å follow each position.
Atoms (fractional coordinates):
Pr1 0.5000 0.5000 0.5000  8 Tb 3.50
Tb1 0.2500 0.2500 0.2500  4 Pr 3.50, 4 Th 3.50
Tb2 0.7500 0.7500 0.7500  4 Th 3.50, 4 Pr 3.50
Th1 0.0000 0.0000 0.0000  8 Tb 3.50

=====

<4>
A relaxed Tb2PrTh crystal. Source: Alexandria, functional PBE.

Output
- calculated density (g/cm3) = 8.67

a = 3.6042 Å, b = 3.6042 Å, c = 10.1846 Å
α = 90.00°, β = 90.00°, γ = 90.00°
Closest atoms and distances in Å follow each position.
Atoms (fractional coordinates):
Pr1 0.5000 0.5000 0.5000  4 Pr 3.60, 8 Tb 3.69
Tb1 0.0000 0.0000 0.7616  4 Th 3.52, 4 Tb 3.60, 4 Pr 3.69
Tb2 0.0000 0.0000 0.2384  4 Th 3.52, 4 Tb 3.60, 4 Pr 3.69
Th1 0.5000 0.5000 0.0000  8 Tb 3.52, 4 Th 3.60

=====

Name the most stable of them. <1>.

=====

<1>
A relaxed Tb2PrTh crystal. Source: Alexandria, functional PBE.

Output
- calculated density (g/cm3) = 8.66

a = 3.6065 Å, b = 3.6065 Å, c = 11.9365 Å
α = 81.31°, β = 81.31°, γ = 60.00°
Closest atoms and distances in Å follow each position.
Atoms (fractional coordinates):
Tb1 0.0842 0.0842 0.7475  3 Th 3.59, 6 Tb 3.61, 3 Pr 3.63
Tb2 0.2488 0.2488 0.2535  3 Th 3.56, 6 Tb 3.61, 3 Pr 3.63
Pr1 0.6666 0.6666 0.0001  6 Pr 3.61, 6 Tb 3.63
Th1 0.5004 0.5004 0.4989  6 Tb 3.56-3.59, 6 Th 3.61

=====

<2>
A relaxed Tb2PrTh crystal. Source: Alexandria, functional PBE.

Output
- calculated density (g/cm3) = 8.72

a = 3.6114 Å, b = 3.6114 Å, c = 11.8379 Å
α = 81.23°, β = 81.23°, γ = 60.00°
Closest atoms and distances in Å follow each position.
Atoms (fractional coordinates):
Pr1 0.5000 0.5000 0.5000  6 Pr 3.61, 6 Tb 3.66
Tb1 0.2528 0.2528 0.2417  3 Th 3.50, 6 Tb 3.61, 3 Pr 3.66
Tb2 0.7472 0.7472 0.7583  3 Th 3.50, 6 Tb 3.61, 3 Pr 3.66
Th1 0.0000 0.0000 0.0000  6 Tb 3.50, 6 Th 3.61

=====

Name the most stable of them. <2>.

=====

<1>
A relaxed TbPrTh2 crystal. Source: Alexandria, functional PBE.

Output
- calculated density (g/cm3) = 9.60

a = 3.5946 Å, b = 3.5946 Å, c = 11.9834 Å
α = 81.37°, β = 81.37°, γ = 60.00°
Closest atoms and distances in Å follow each position.
Atoms (fractional coordinates):
Tb1 0.6682 0.6682 0.9955  6 Th 3.52-3.60, 6 Tb 3.59
Pr1 0.4983 0.4983 0.5050  6 Pr 3.59, 6 Th 3.60-3.70
Th1 0.0819 0.0819 0.7542  3 Tb 3.52, 6 Th 3.59, 3 Pr 3.60
Th2 0.2516 0.2516 0.2452  6 Th 3.59, 3 Tb 3.60, 3 Pr 3.70

=====

<2>
A relaxed TbPrTh2 crystal. Source: Alexandria, functional PBE.

Output
- calculated density (g/cm3) = 9.45

a = 3.5233 Å, b = 3.5233 Å, c = 12.6563 Å
α = 82.00°, β = 82.00°, γ = 60.00°
Closest atoms and distances in Å follow each position.
Atoms (fractional coordinates):
Pr1 0.0000 0.0000 0.0000  2 Th 3.32, 6 Pr 3.52
Tb1 0.5000 0.5000 0.5000  6 Tb 3.52, 6 Th 3.57
Th1 0.0885 0.0885 0.7344  1 Pr 3.32, 6 Th 3.52, 3 Tb 3.57
Th2 0.9115 0.9115 0.2656  1 Pr 3.32, 6 Th 3.52, 3 Tb 3.57

=====

<3>
A relaxed TbPrTh2 crystal. Source: Alexandria, functional PBE.

Output
- calculated density (g/cm3) = 7.83

a = 9.8880 Å, b = 9.8880 Å, c = 3.5720 Å
α = 84.37°, β = 84.37°, γ = 109.68°
Closest atoms and distances in Å follow each position.
Atoms (fractional coordinates):
Tb1 0.1975 0.8025 0.2500  2 Pr 3.24, 2 Tb 3.57
Tb2 0.8025 0.1975 0.7500  2 Pr 3.24, 2 Tb 3.57
Pr1 0.5000 0.0000 0.5000  2 Tb 3.24, 2 Th 3.25, 2 Pr 3.57
Pr2 0.0000 0.5000 0.0000  2 Tb 3.24, 2 Th 3.25, 2 Pr 3.57
Th1 0.5418 0.7182 0.9510  1 Pr 3.25, 6 Th 3.34-3.57
Th2 0.4582 0.2818 0.0490  1 Pr 3.25, 6 Th 3.34-3.57
Th3 0.2818 0.4582 0.5490  1 Pr 3.25, 6 Th 3.34-3.57
Th4 0.7182 0.5418 0.4510  1 Pr 3.25, 6 Th 3.34-3.57

=====

Name the most stable of them. <1>.